## CsKV2 (PBE)

Data for crystalline CsKV2 at its relaxed geometry.

Calculated values
As for the total magnetization: 0.0001 μB per atom. Its formation energy is 1.83 eV/atom. Its density of states at the Fermi level is 5.72 states/eV/f.u.

Lattice parameters (Å, degrees): 4.5055 4.5055 25.0337 90.00 90.00 90.00
With the nearest neighbours (Å) after each atom.
Fractional coordinates of all 16 atoms:
Cs 0.0000 0.0000 0.0000  4 K 3.19, 4 V 3.33
Cs 0.0000 0.5000 0.2500  4 K 3.19, 4 V 3.33
Cs 0.5000 0.0000 0.7500  4 K 3.19, 4 V 3.33
Cs 0.5000 0.5000 0.5000  4 K 3.19, 4 V 3.33
K 0.0000 0.0000 0.5000  4 Cs 3.19
K 0.0000 0.5000 0.7500  4 Cs 3.19
K 0.5000 0.0000 0.2500  4 Cs 3.19
K 0.5000 0.5000 0.0000  4 Cs 3.19
V 0.0173 0.2500 0.1250  2 V 2.26
V 0.2500 0.5173 0.3750  2 V 2.26
V 0.2500 0.9827 0.8750  2 V 2.26
V 0.4827 0.2500 0.6250  2 V 2.26
V 0.5173 0.7500 0.6250  2 V 2.26
V 0.7500 0.0173 0.8750  2 V 2.26
V 0.7500 0.4827 0.3750  2 V 2.26
V 0.9827 0.7500 0.1250  2 V 2.26

## KNiW3 (PBE)

Data for crystalline KNiW3 at its relaxed geometry.

Calculated values
As for the total magnetization: 0.0000 μB per atom. Its formation energy is 3.75 eV/atom. Its density of states at the Fermi level is 3.73 states/eV/f.u. The polymorph energy (0 for the lowest one) is 8.135 eV/f.u.

Lattice parameters (Å, degrees): 4.4447 4.4447 4.4447 90.00 90.00 90.00
With the nearest neighbours (Å) after each atom.
Fractional coordinates of all 5 atoms:
K 0.0000 0.0000 0.0000  6 W 2.22
Ni 0.5000 0.5000 0.5000  12 W 3.14
W 0.0000 0.0000 0.5000  2 K 2.22
W 0.0000 0.5000 0.0000  2 K 2.22
W 0.5000 0.0000 0.0000  2 K 2.22

## Zn2Ni4Pt5 (PBE)

Data for crystalline Zn2Ni4Pt5 at its relaxed geometry.

Calculated values
As for the total magnetization: 0.2214 μB per atom. Its formation energy is -0.14 eV/atom. Its density of states at the Fermi level is 16.58 states/eV/f.u.

Lattice parameters (Å, degrees): 5.7913 13.8114 3.8219 90.00 90.00 90.00
With the nearest neighbours (Å) after each atom.
Fractional coordinates of all 22 atoms:
Zn 0.0114 0.2091 0.0000  3 Ni 2.43-2.65, 6 Pt 2.59-2.68
Zn 0.4886 0.7091 0.0000  3 Ni 2.43-2.65, 6 Pt 2.59-2.68
Zn 0.5114 0.2909 0.0000  3 Ni 2.43-2.65, 6 Pt 2.59-2.68
Zn 0.9886 0.7909 0.0000  3 Ni 2.43-2.65, 6 Pt 2.59-2.68
Ni 0.1067 0.3808 0.0000  2 Zn 2.43-2.65, 2 Ni 2.52-2.56, 6 Pt 2.60-2.67
Ni 0.2021 0.0443 0.0000  3 Ni 2.52-2.64, 1 Zn 2.53, 6 Pt 2.65-2.74
Ni 0.2979 0.5443 0.0000  3 Ni 2.52-2.64, 1 Zn 2.53, 6 Pt 2.65-2.74
Ni 0.3933 0.8808 0.0000  2 Zn 2.43-2.65, 2 Ni 2.52-2.56, 6 Pt 2.60-2.67
Ni 0.6067 0.1192 0.0000  2 Zn 2.43-2.65, 2 Ni 2.52-2.56, 6 Pt 2.60-2.67
Ni 0.7021 0.4557 0.0000  3 Ni 2.52-2.64, 1 Zn 2.53, 6 Pt 2.65-2.74
Ni 0.7979 0.9557 0.0000  3 Ni 2.52-2.64, 1 Zn 2.53, 6 Pt 2.65-2.74
Ni 0.8933 0.6192 0.0000  2 Zn 2.43-2.65, 2 Ni 2.52-2.56, 6 Pt 2.60-2.67
Pt 0.0000 0.5000 0.5000  8 Ni 2.60-2.65, 4 Pt 2.66-2.78
Pt 0.0941 0.9093 0.5000  2 Zn 2.59, 6 Ni 2.61-2.74, 3 Pt 2.66-2.81
Pt 0.1691 0.6883 0.5000  4 Zn 2.60-2.68, 4 Ni 2.67-2.86, 2 Pt 2.78-2.81
Pt 0.3309 0.1883 0.5000  4 Zn 2.60-2.68, 4 Ni 2.67-2.86, 2 Pt 2.78-2.81
Pt 0.4059 0.4093 0.5000  2 Zn 2.59, 6 Ni 2.61-2.74, 3 Pt 2.66-2.81
Pt 0.5000 0.0000 0.5000  8 Ni 2.60-2.65, 4 Pt 2.66-2.78
Pt 0.5941 0.5907 0.5000  2 Zn 2.59, 6 Ni 2.61-2.74, 3 Pt 2.66-2.81
Pt 0.6691 0.8117 0.5000  4 Zn 2.60-2.68, 4 Ni 2.67-2.86, 2 Pt 2.78-2.81
Pt 0.8309 0.3117 0.5000  4 Zn 2.60-2.68, 4 Ni 2.67-2.86, 2 Pt 2.78-2.81
Pt 0.9059 0.0907 0.5000  2 Zn 2.59, 6 Ni 2.61-2.74, 3 Pt 2.66-2.81